The following is a DFT calculation (GGA-PBE) of a relaxed SmZnNiPd crystal.

The energy above the most stable polymorph in this dataset comes out at 113 meV per atom. For the density of states at the Fermi level, the calculation gives 0.642 states/eV/atom.

It has space group F-43m (No. 216), with a = 6.587 Å, b = 6.587 Å, c = 6.587 Å, α = 90.00°, β = 90.00° and γ = 90.00°. The inequivalent atoms are Sm at (0.000, 0.000, 0.000), Zn at (0.000, 0.000, 0.500), Ni at (0.250, 0.250, 0.750) and Pd at (0.250, 0.250, 0.250).